# PBE Al8FePd2, relaxed
# Space group: Immm
# Total magnetic moment in μB/f.u.: 0.00
# Calculated total energy in eV/atom: -4.818
# DFT formation energy in kJ/mol of formula units: -406
data_Al8FePd2
_chemical_formula_sum 'Al8 Fe1 Pd2'
_space_group_name_H-M_alt 'P 1'
_space_group_IT_number 1
_cell_length_a 7.153
_cell_length_b 7.153
_cell_length_c 7.153
_cell_angle_alpha 147.97
_cell_angle_beta 119.32
_cell_angle_gamma 70.27
loop_
_space_group_symop_operation_xyz
'x,y,z'
loop_
_atom_site_label
_atom_site_type_symbol
_atom_site_fract_x
_atom_site_fract_y
_atom_site_fract_z
Al1 Al 0.106 0.341 0.764
Al2 Al 0.144 0.144 0.000
Al3 Al 0.291 0.000 0.291
Al4 Al 0.423 0.659 0.764
Al5 Al 0.577 0.341 0.236
Al6 Al 0.709 0.000 0.709
Al7 Al 0.856 0.856 0.000
Al8 Al 0.894 0.659 0.236
Fe1 Fe 0.000 0.500 0.500
Pd1 Pd 0.318 0.818 0.500
Pd2 Pd 0.682 0.182 0.500



# PBE Al4Fe3Pd, relaxed
# Space group: Pmmm
# Total magnetic moment in μB/f.u.: 1.34
# Calculated total energy in eV/atom: -6.155
# DFT formation energy in kJ/mol of formula units: -356
data_Al4Fe3Pd
_chemical_formula_sum 'Al4 Fe3 Pd1'
_space_group_name_H-M_alt 'P 1'
_space_group_IT_number 1
_cell_length_a 2.960
_cell_length_b 4.105
_cell_length_c 8.196
_cell_angle_alpha 90.00
_cell_angle_beta 90.00
_cell_angle_gamma 90.00
loop_
_space_group_symop_operation_xyz
'x,y,z'
loop_
_atom_site_label
_atom_site_type_symbol
_atom_site_fract_x
_atom_site_fract_y
_atom_site_fract_z
Al1 Al 0.000 0.000 0.000
Al2 Al 0.000 0.000 0.500
Al3 Al 0.000 0.500 0.236
Al4 Al 0.000 0.500 0.764
Fe1 Fe 0.500 0.000 0.249
Fe2 Fe 0.500 0.000 0.751
Fe3 Fe 0.500 0.500 0.000
Pd1 Pd 0.500 0.500 0.500



# PBE Al2FePd8, relaxed
# Space group: C2/m
# Total magnetic moment in μB/f.u.: 3.71
# Calculated total energy in eV/atom: -5.687
# Energy above the most stable polymorph in this dataset in meV per atom: 0
# DFT formation energy in kJ/mol of formula units: -488
data_Al2FePd8
_chemical_formula_sum 'Al2 Fe1 Pd8'
_space_group_name_H-M_alt 'P 1'
_space_group_IT_number 1
_cell_length_a 7.102
_cell_length_b 7.102
_cell_length_c 6.245
_cell_angle_alpha 108.95
_cell_angle_beta 108.95
_cell_angle_gamma 33.49
loop_
_space_group_symop_operation_xyz
'x,y,z'
loop_
_atom_site_label
_atom_site_type_symbol
_atom_site_fract_x
_atom_site_fract_y
_atom_site_fract_z
Al1 Al 0.216 0.216 0.156
Al2 Al 0.784 0.784 0.844
Fe1 Fe 0.500 0.500 0.500
Pd1 Pd 0.039 0.039 0.235
Pd2 Pd 0.154 0.154 0.714
Pd3 Pd 0.324 0.324 0.571
Pd4 Pd 0.395 0.395 0.039
Pd5 Pd 0.605 0.605 0.961
Pd6 Pd 0.676 0.676 0.429
Pd7 Pd 0.846 0.846 0.286
Pd8 Pd 0.961 0.961 0.765



- calculated total energy of number 1 (Al8FePd2)?
  -4.818 eV/atom